1.
{
  "formula": "AcInSbPd",
  "functional": "GGA-PBE",
  "state": "optimized geometry",
  "cell": [[-3.210, -0.229, 4.221], [1.291, -3.042, 4.154], [1.472, 2.246, 4.579]],
  "species": ["Sb", "Ac", "Pd", "In"],
  "fractional_positions": [[0.750, 0.750, 0.750], [0.250, 0.250, 0.250], [0.000, 0.000, 0.000], [0.500, 0.500, 0.500]],
  "vol_a3_per_cell": 105.8,
  "space_group": "No. 216",
  "crystal_system": "cubic",
  "final_energy_ev_per_atom": -4.48,
  "m_tot_mub_per_cell": 0.00
}

2.
{
  "formula": "K2CrTcN4",
  "functional": "GGA-PBE",
  "state": "optimized geometry",
  "cell": [[5.958, 0.000, 0.000], [0.000, 6.776, 0.000], [0.000, 0.000, 6.446]],
  "species": ["K", "K", "K", "K", "Cr", "Cr", "Tc", "Tc", "N", "N", "N", "N", "N", "N", "N", "N"],
  "fractional_positions": [[0.500, 0.297, 0.251], [0.500, 0.297, 0.749], [0.000, 0.703, 0.751], [0.000, 0.703, 0.249], [0.000, 0.152, 0.500], [0.500, 0.848, 0.000], [0.500, 0.848, 0.500], [0.000, 0.152, 0.000], [0.255, 0.994, 0.000], [0.755, 0.006, 0.500], [0.245, 0.006, 0.500], [0.745, 0.994, 0.000], [0.500, 0.709, 0.756], [0.000, 0.291, 0.256], [0.000, 0.291, 0.744], [0.500, 0.709, 0.244]],
  "vol_a3_per_cell": 260.3,
  "space_group": "No. 59",
  "crystal_system": "orthorhombic",
  "final_energy_ev_per_atom": -7.23,
  "m_tot_mub_per_cell": 0.00
}

3.
{
  "formula": "Pr4IrSeCl2",
  "functional": "GGA-PBE",
  "state": "optimized geometry",
  "cell": [[4.131, 0.000, 0.000], [0.000, 7.472, -0.180], [0.000, 2.603, 7.182]],
  "species": ["Pr", "Pr", "Pr", "Pr", "Ir", "Se", "Cl", "Cl"],
  "fractional_positions": [[0.000, 0.727, 0.744], [0.000, 0.273, 0.256], [0.500, 0.716, 0.282], [0.500, 0.284, 0.718], [0.000, 0.500, 0.500], [0.500, 0.500, 0.000], [0.000, 0.000, 0.000], [0.500, 0.000, 0.500]],
  "vol_a3_per_cell": 223.7,
  "space_group": "No. 10",
  "crystal_system": "monoclinic",
  "final_energy_ev_per_atom": -5.78,
  "m_tot_mub_per_cell": 0.00
}

4.
{
  "formula": "SnPbS2N",
  "functional": "GGA-PBE",
  "state": "optimized geometry",
  "cell": [[-0.234, 4.887, 1.991], [-4.634, 0.763, -2.417], [-2.055, -1.509, 3.463]],
  "species": ["Pb", "S", "S", "Sn", "N"],
  "fractional_positions": [[0.000, 0.000, 0.000], [0.000, 0.500, 0.000], [0.500, 0.000, 0.000], [0.500, 0.500, 0.500], [0.000, 0.000, 0.500]],
  "e_above_lowest_polymorph_ev_per_fu": 2.212,
  "vol_a3_per_cell": 120.0,
  "space_group": "No. 123",
  "crystal_system": "tetragonal",
  "final_energy_ev_per_atom": -4.07,
  "m_tot_mub_per_cell": 1.31
}

5.
{
  "formula": "GaSe3S",
  "functional": "GGA-PBE",
  "state": "optimized geometry",
  "cell": [[4.932, 0.000, 0.000], [0.000, 4.932, 0.000], [0.000, 0.000, 4.932]],
  "species": ["S", "Ga", "Se", "Se", "Se"],
  "fractional_positions": [[0.000, 0.000, 0.000], [0.500, 0.500, 0.500], [0.000, 0.500, 0.000], [0.000, 0.000, 0.500], [0.500, 0.000, 0.000]],
  "e_above_lowest_polymorph_ev_per_fu": 0.000,
  "vol_a3_per_cell": 120.0,
  "space_group": "No. 221",
  "crystal_system": "cubic",
  "final_energy_ev_per_atom": -3.12,
  "m_tot_mub_per_cell": 0.00
}

6.
{
  "formula": "KCrSbI6",
  "functional": "GGA-PBE",
  "state": "optimized geometry",
  "cell": [[-0.422, 6.257, -4.494], [-6.882, 2.800, -2.078], [-0.063, 4.520, 6.300]],
  "species": ["K", "Cr", "Sb", "I", "I", "I", "I", "I", "I"],
  "fractional_positions": [[0.000, 0.000, 0.000], [0.667, 0.667, 0.500], [0.333, 0.333, 0.500], [0.982, 0.382, 0.282], [0.382, 0.982, 0.718], [0.637, 0.382, 0.718], [0.982, 0.637, 0.718], [0.382, 0.637, 0.282], [0.637, 0.982, 0.282]],
  "vol_a3_per_cell": 399.6,
  "space_group": "No. 149",
  "crystal_system": "trigonal",
  "final_energy_ev_per_atom": -3.23,
  "m_tot_mub_per_cell": 4.00
}

7.
{
  "formula": "Ca2TeSe",
  "functional": "GGA-PBE",
  "state": "optimized geometry",
  "cell": [[-6.069, -4.442, 1.022], [-2.619, -6.681, 2.474], [-4.441, -3.614, 4.983]],
  "species": ["Ca", "Ca", "Te", "Se"],
  "fractional_positions": [[0.995, 0.995, 0.995], [0.505, 0.505, 0.505], [0.750, 0.750, 0.750], [0.250, 0.250, 0.250]],
  "e_above_lowest_polymorph_ev_per_fu": 0.000,
  "vol_a3_per_cell": 118.0,
  "space_group": "No. 166",
  "crystal_system": "trigonal",
  "final_energy_ev_per_atom": -4.48,
  "m_tot_mub_per_cell": 0.00
}

8.
{
  "formula": "Dy2ErHg3",
  "functional": "GGA-PBE",
  "state": "optimized geometry",
  "cell": [[-4.087, 3.274, 0.219], [-0.754, -5.167, 0.455], [1.422, 0.919, 12.790]],
  "species": ["Dy", "Dy", "Dy", "Dy", "Er", "Er", "Hg", "Hg", "Hg", "Hg", "Hg", "Hg"],
  "fractional_positions": [[0.000, 0.000, 0.500], [0.333, 0.667, 0.168], [0.667, 0.333, 0.832], [0.000, 0.000, 0.000], [0.333, 0.667, 0.667], [0.667, 0.333, 0.333], [0.333, 0.667, 0.417], [0.667, 0.333, 0.084], [0.000, 0.000, 0.749], [0.000, 0.000, 0.251], [0.333, 0.667, 0.916], [0.667, 0.333, 0.583]],
  "vol_a3_per_cell": 307.0,
  "formation_enthalpy_0k_ev_per_fu": -2.87,
  "space_group": "No. 164",
  "crystal_system": "trigonal",
  "final_energy_ev_per_atom": -2.92,
  "m_tot_mub_per_cell": 0.01
}

9.
{
  "formula": "Sb2MoPt",
  "functional": "GGA-PBE",
  "state": "optimized geometry",
  "cell": [[-4.578, 0.450, -0.770], [-3.911, -2.323, 1.029], [-1.616, 2.549, 4.528]],
  "species": ["Mo", "Pt", "Sb", "Sb"],
  "fractional_positions": [[0.250, 0.250, 0.250], [0.750, 0.750, 0.750], [0.994, 0.994, 0.014], [0.506, 0.506, 0.486]],
  "e_above_lowest_polymorph_ev_per_fu": 0.948,
  "vol_a3_per_cell": 78.0,
  "space_group": "No. 12",
  "crystal_system": "monoclinic",
  "final_energy_ev_per_atom": -6.10,
  "m_tot_mub_per_cell": 0.00
}

10.
{
  "formula": "K2Sn4GeAu3",
  "functional": "GGA-PBE",
  "state": "optimized geometry",
  "cell": [[4.847, 0.000, 0.000], [0.000, 4.847, 0.000], [0.000, 0.000, 11.512]],
  "species": ["K", "K", "Sn", "Sn", "Sn", "Sn", "Ge", "Au", "Au", "Au"],
  "fractional_positions": [[0.500, 0.000, 0.256], [0.000, 0.500, 0.744], [0.500, 0.500, 0.000], [0.000, 0.000, 0.000], [0.500, 0.000, 0.628], [0.000, 0.500, 0.372], [0.500, 0.500, 0.500], [0.000, 0.000, 0.500], [0.500, 0.000, 0.869], [0.000, 0.500, 0.131]],
  "vol_a3_per_cell": 270.5,
  "formation_enthalpy_0k_ev_per_fu": -2.64,
  "space_group": "No. 115",
  "crystal_system": "tetragonal",
  "final_energy_ev_per_atom": -3.53,
  "m_tot_mub_per_cell": 0.00
}

11.
{
  "formula": "RePtSe2",
  "functional": "GGA-PBE",
  "state": "optimized geometry",
  "cell": [[4.362, 0.000, 0.000], [0.000, 2.673, 0.000], [0.000, -2.654, 6.059]],
  "species": ["Pt", "Re", "Se", "Se"],
  "fractional_positions": [[0.500, 0.250, 0.250], [0.500, 0.750, 0.750], [0.000, 0.997, 0.993], [0.000, 0.503, 0.507]],
  "e_above_lowest_polymorph_ev_per_fu": 1.699,
  "vol_a3_per_cell": 70.6,
  "space_group": "No. 10",
  "crystal_system": "monoclinic",
  "final_energy_ev_per_atom": -5.85,
  "m_tot_mub_per_cell": 0.00
}

12.
{
  "formula": "MgAu2Cl",
  "functional": "GGA-PBE",
  "state": "optimized geometry",
  "cell": [[-5.050, -0.810, 0.992], [2.196, -2.364, -4.091], [0.849, -2.771, 2.057]],
  "species": ["Au", "Au", "Cl", "Mg"],
  "fractional_positions": [[0.000, 0.000, 0.000], [0.500, 0.500, 0.000], [0.500, 0.000, 0.500], [0.000, 0.500, 0.500]],
  "e_above_lowest_polymorph_ev_per_fu": 1.748,
  "vol_a3_per_cell": 84.2,
  "space_group": "No. 65",
  "crystal_system": "orthorhombic",
  "final_energy_ev_per_atom": -2.71,
  "m_tot_mub_per_cell": 0.00
}

13.
{
  "formula": "VGeC",
  "functional": "GGA-PBE",
  "state": "optimized geometry",
  "cell": [[4.326, 0.000, 0.000], [0.000, 2.587, 0.000], [-2.163, -1.293, 7.088]],
  "species": ["C", "C", "Ge", "Ge", "V", "V"],
  "fractional_positions": [[0.679, 0.179, 0.358], [0.321, 0.821, 0.642], [0.750, 0.500, 0.000], [0.250, 0.500, 0.000], [0.188, 0.688, 0.375], [0.812, 0.312, 0.625]],
  "vol_a3_per_cell": 79.3,
  "formation_enthalpy_0k_ev_per_fu": 3.60,
  "space_group": "No. 71",
  "crystal_system": "orthorhombic",
  "final_energy_ev_per_atom": -6.45,
  "m_tot_mub_per_cell": 0.00
}

14.
{
  "formula": "AcTbGdY",
  "functional": "GGA-PBE",
  "state": "optimized geometry",
  "cell": [[-4.993, 3.058, -0.124], [-4.983, -2.453, 1.859], [-2.459, 1.795, 5.003]],
  "species": ["Y", "Ac", "Gd", "Tb"],
  "fractional_positions": [[0.750, 0.750, 0.750], [0.000, 0.000, 0.000], [0.500, 0.500, 0.500], [0.250, 0.250, 0.250]],
  "vol_a3_per_cell": 142.0,
  "formation_enthalpy_0k_ev_per_fu": 0.45,
  "space_group": "No. 216",
  "crystal_system": "cubic",
  "final_energy_ev_per_atom": -7.21,
  "m_tot_mub_per_cell": 7.88
}

15.
{
  "formula": "Na2Dy2IrO6",
  "functional": "GGA-PBE",
  "state": "optimized geometry",
  "cell": [[5.733, -0.032, 0.159], [-2.861, 4.968, 0.159], [-0.922, -1.585, 5.604]],
  "species": ["Na", "Na", "Dy", "Dy", "Ir", "O", "O", "O", "O", "O", "O"],
  "fractional_positions": [[0.855, 0.145, 0.000], [0.145, 0.855, 0.000], [0.338, 0.662, 0.500], [0.662, 0.338, 0.500], [0.000, 0.000, 0.500], [0.750, 0.750, 0.705], [0.041, 0.355, 0.693], [0.250, 0.250, 0.295], [0.355, 0.041, 0.693], [0.959, 0.645, 0.307], [0.645, 0.959, 0.307]],
  "vol_a3_per_cell": 162.0,
  "space_group": "No. 12",
  "crystal_system": "monoclinic",
  "final_energy_ev_per_atom": -6.75,
  "m_tot_mub_per_cell": 1.05
}

16.
{
  "formula": "MnBeSe2",
  "functional": "GGA-PBE",
  "state": "optimized geometry",
  "cell": [[17.067, 0.000, -0.026], [0.000, 3.452, 0.000], [-6.046, 0.000, 5.046]],
  "species": ["Be", "Be", "Be", "Be", "Mn", "Mn", "Mn", "Mn", "Se", "Se", "Se", "Se", "Se", "Se", "Se", "Se"],
  "fractional_positions": [[0.297, 0.000, 0.088], [0.703, 0.000, 0.912], [0.203, 0.500, 0.412], [0.797, 0.500, 0.588], [0.645, 0.500, 0.595], [0.355, 0.500, 0.405], [0.855, 0.000, 0.905], [0.145, 0.000, 0.095], [0.912, 0.000, 0.686], [0.088, 0.000, 0.314], [0.588, 0.500, 0.814], [0.412, 0.500, 0.186], [0.142, 0.500, 0.856], [0.858, 0.500, 0.144], [0.358, 0.000, 0.644], [0.642, 0.000, 0.356]],
  "vol_a3_per_cell": 296.8,
  "space_group": "No. 12",
  "crystal_system": "monoclinic",
  "final_energy_ev_per_atom": -5.22,
  "m_tot_mub_per_cell": 12.52
}

17.
{
  "formula": "NbCo4Ni12",
  "functional": "GGA-PBE",
  "state": "optimized geometry",
  "cell": [[-5.378, 0.718, -3.450], [-0.146, -5.661, 3.044], [0.425, 4.744, 4.318]],
  "species": ["Nb", "Co", "Co", "Co", "Co", "Ni", "Ni", "Ni", "Ni", "Ni", "Ni", "Ni", "Ni", "Ni", "Ni", "Ni", "Ni"],
  "fractional_positions": [[0.000, 0.000, 0.000], [0.000, 0.000, 0.500], [0.500, 0.000, 0.000], [0.500, 0.500, 0.500], [0.000, 0.500, 0.000], [0.000, 0.310, 0.310], [0.000, 0.690, 0.690], [0.690, 0.690, 0.000], [0.310, 0.310, 0.000], [0.310, 0.000, 0.310], [0.690, 0.000, 0.690], [0.500, 0.250, 0.750], [0.500, 0.750, 0.250], [0.750, 0.250, 0.500], [0.250, 0.750, 0.500], [0.750, 0.500, 0.250], [0.250, 0.500, 0.750]],
  "vol_a3_per_cell": 204.6,
  "formation_enthalpy_0k_ev_per_fu": 4.65,
  "space_group": "No. 229",
  "crystal_system": "cubic",
  "final_energy_ev_per_atom": -6.07,
  "m_tot_mub_per_cell": 11.87
}

18.
{
  "formula": "SrTl6Sn2",
  "functional": "GGA-PBE",
  "state": "optimized geometry",
  "cell": [[9.101, 0.328, -0.194], [-3.145, 8.547, 0.194], [-3.338, -4.196, 7.364]],
  "species": ["Sr", "Sr", "Tl", "Tl", "Tl", "Tl", "Tl", "Tl", "Tl", "Tl", "Tl", "Tl", "Tl", "Tl", "Sn", "Sn", "Sn", "Sn"],
  "fractional_positions": [[0.000, 0.500, 0.500], [0.000, 0.000, 0.000], [0.519, 0.716, 0.803], [0.481, 0.284, 0.197], [0.087, 0.284, 0.803], [0.913, 0.716, 0.197], [0.787, 0.745, 0.532], [0.213, 0.255, 0.468], [0.213, 0.745, 0.958], [0.787, 0.255, 0.042], [0.731, 0.419, 0.688], [0.269, 0.581, 0.312], [0.269, 0.956, 0.688], [0.731, 0.044, 0.312], [0.500, 0.363, 0.863], [0.500, 0.637, 0.137], [0.646, 0.000, 0.646], [0.354, 0.000, 0.354]],
  "e_above_lowest_polymorph_ev_per_fu": 0.388,
  "vol_a3_per_cell": 579.5,
  "formation_enthalpy_0k_ev_per_fu": -0.74,
  "space_group": "No. 71",
  "crystal_system": "orthorhombic",
  "final_energy_ev_per_atom": -2.74,
  "m_tot_mub_per_cell": 0.00
}

19.
{
  "formula": "GaFe2Sb2",
  "functional": "GGA-PBE",
  "state": "optimized geometry",
  "cell": [[6.802, 0.000, 0.000], [0.000, 6.802, 0.000], [0.000, 0.000, 3.866]],
  "species": ["Sb", "Sb", "Sb", "Sb", "Fe", "Fe", "Fe", "Fe", "Ga", "Ga"],
  "fractional_positions": [[0.165, 0.665, 0.500], [0.665, 0.835, 0.500], [0.835, 0.335, 0.500], [0.335, 0.165, 0.500], [0.369, 0.869, 0.000], [0.869, 0.631, 0.000], [0.631, 0.131, 0.000], [0.131, 0.369, 0.000], [0.000, 0.000, 0.000], [0.500, 0.500, 0.000]],
  "e_above_lowest_polymorph_ev_per_fu": 0.325,
  "vol_a3_per_cell": 178.9,
  "space_group": "No. 127",
  "crystal_system": "tetragonal",
  "final_energy_ev_per_atom": -5.42,
  "m_tot_mub_per_cell": 8.84
}